This record from Alexandria describes an optimized crystal structure of MnBeCr2. The functional is GGA-PBE.

The value obtained for the energy of formation from the pure elements is 0.079 eV/atom. The total magnetization is 0.27 μB/f.u.

The structure in POSCAR format:
```
MnBeCr2
1.0
2.3891 0.0085 0.0000
-0.7145 2.2798 0.0000
0.0000 0.0000 7.7906
Cr Mn Be
2 1 1
direct
0.0000 0.0000 0.9926
0.0000 0.0000 0.5074
0.5000 0.5000 0.2500
0.5000 0.5000 0.7500
```

---

This record from Alexandria describes an optimized crystal structure of K4RhF6. The functional is GGA-PBE.

The total magnetization is 1.00 μB/f.u. The uncorrected formation energy is -2.30 eV/atom.

The structure in POSCAR format:
```
K4RhF6
1.0
7.3218 -0.0020 -0.0595
0.0590 7.3216 -0.0595
0.0020 0.0020 7.3221
K Rh F
8 2 12
direct
0.3799 0.1201 0.2500
0.8799 0.2500 0.3799
0.2500 0.6201 0.1201
0.2500 0.2500 0.7500
0.7500 0.7500 0.2500
0.7500 0.3799 0.8799
0.1201 0.7500 0.6201
0.6201 0.8799 0.7500
0.5000 0.5000 0.5000
0.0000 0.0000 0.0000
0.7154 0.0576 0.0712
0.0712 0.2846 0.0576
0.5712 0.4424 0.2154
0.9424 0.0712 0.7154
0.5576 0.2154 0.5712
0.2154 0.4288 0.4424
0.7846 0.5712 0.5576
0.4424 0.7846 0.4288
0.0576 0.9288 0.2846
0.4288 0.5576 0.7846
0.9288 0.7154 0.9424
0.2846 0.9424 0.9288
```

---

This record from Alexandria describes an optimized crystal structure of Mg2In8Ag. The functional is GGA-PBE.

The value obtained for the energy of formation from the pure elements is -0.017 eV/atom. The total magnetization is 0.00 μB/f.u.

The structure in POSCAR format:
```
Mg2In8Ag
1.0
-2.4885 -4.0367 0.0875
1.8758 -1.0648 4.2241
-9.2981 5.8534 5.6046
Mg In Ag
2 8 1
direct
0.0000 0.0000 0.3220
0.0000 0.0000 0.6780
0.0000 0.5000 0.5000
0.5000 0.0000 0.5000
0.5000 0.5000 0.3159
0.5000 0.5000 0.6841
0.0000 0.5000 0.1380
0.5000 0.0000 0.1380
0.0000 0.5000 0.8620
0.5000 0.0000 0.8620
0.0000 0.0000 0.0000
```

---

Please write out number 1 again, unchanged.
This record from Alexandria describes an optimized crystal structure of MnBeCr2. The functional is GGA-PBE.

The value obtained for the energy of formation from the pure elements is 0.079 eV/atom. The total magnetization is 0.27 μB/f.u.

The structure in POSCAR format:
```
MnBeCr2
1.0
2.3891 0.0085 0.0000
-0.7145 2.2798 0.0000
0.0000 0.0000 7.7906
Cr Mn Be
2 1 1
direct
0.0000 0.0000 0.9926
0.0000 0.0000 0.5074
0.5000 0.5000 0.2500
0.5000 0.5000 0.7500
```